# 1
# Ba2FeHg2

A geometry-optimized Ba2FeHg2 structure (PBE, the Alexandria database).

Lattice parameters (Å, degrees): 10.0516 10.0516 10.0516 155.26 155.26 35.27
With the nearest neighbours (Å) after each atom.
Sites, in units of the cell vectors:
1 Ba 0.0988 0.0988 0.0000  4 Fe 3.59, 4 Hg 3.61, 1 Ba 3.79
2 Ba 0.9012 0.9012 0.0000  4 Fe 3.59, 4 Hg 3.61, 1 Ba 3.79
3 Fe 0.5000 0.5000 0.0000  8 Ba 3.59
4 Hg 0.2500 0.7500 0.5000  4 Hg 3.04
5 Hg 0.7500 0.2500 0.5000  4 Hg 3.04

Computed properties:
E_form = 0.210 eV per atom
V = 35.5 A^3/atom
Raw total energy = -2.372 eV per atom


# 2
# BaFeHg2

A geometry-optimized BaFeHg2 structure (PBE, the Alexandria database).

Lattice parameters (Å, degrees): 4.7164 4.7164 6.6005 110.90 110.90 59.85
With the nearest neighbours (Å) after each atom.
Sites, in units of the cell vectors:
1 Ba 0.0000 0.0000 0.0000  4 Fe 3.42-3.77, 7 Hg 3.55-3.64
2 Fe 0.8090 0.8090 0.4310  6 Hg 2.74-2.92
3 Hg 0.2006 0.2006 0.6043  3 Fe 2.91-2.92, 3 Hg 3.04
4 Hg 0.4587 0.4587 0.3787  3 Fe 2.74, 3 Hg 3.04

Computed properties:
E_form = 0.081 eV per atom
V = 28.9 A^3/atom
Raw total energy = -2.667 eV per atom


# 3
# BaFeHg2

A geometry-optimized BaFeHg2 structure (PBE, the Alexandria database).

Lattice parameters (Å, degrees): 9.5225 9.5225 9.5225 145.95 145.95 48.92
With the nearest neighbours (Å) after each atom.
Sites, in units of the cell vectors:
1 Ba 0.0000 0.0000 0.0000  4 Hg 3.44
2 Ba 0.7500 0.2500 0.5000  4 Hg 3.44
3 Fe 0.2500 0.7500 0.5000  4 Hg 2.63
4 Fe 0.5000 0.5000 0.0000  4 Hg 2.63
5 Hg 0.2836 0.6250 0.1586  2 Fe 2.63
6 Hg 0.3750 0.5336 0.6586  2 Fe 2.63
7 Hg 0.4664 0.1250 0.8414  2 Fe 2.63
8 Hg 0.8750 0.7164 0.3414  2 Fe 2.63

Computed properties:
E_form = 0.224 eV per atom
V = 33.7 A^3/atom
Raw total energy = -2.523 eV per atom


# 4
# Ba2FeHg2

A geometry-optimized Ba2FeHg2 structure (PBE, the Alexandria database).

Lattice parameters (Å, degrees): 9.1496 9.1496 4.4314 90.00 90.00 90.00
With the nearest neighbours (Å) after each atom.
Sites, in units of the cell vectors:
1 Ba 0.1699 0.3301 0.0000  2 Fe 3.40, 6 Hg 3.42-3.54
2 Ba 0.3301 0.8301 0.0000  2 Fe 3.40, 6 Hg 3.42-3.54
3 Ba 0.6699 0.1699 0.0000  2 Fe 3.40, 6 Hg 3.42-3.54
4 Ba 0.8301 0.6699 0.0000  2 Fe 3.40, 6 Hg 3.42-3.54
5 Fe 0.0000 0.0000 0.0000  4 Ba 3.40
6 Fe 0.5000 0.5000 0.0000  4 Ba 3.40
7 Hg 0.1284 0.6284 0.5000  1 Hg 3.32, 6 Ba 3.42-3.54
8 Hg 0.3716 0.1284 0.5000  1 Hg 3.32, 6 Ba 3.42-3.54
9 Hg 0.6284 0.8716 0.5000  1 Hg 3.32, 6 Ba 3.42-3.54
10 Hg 0.8716 0.3716 0.5000  1 Hg 3.32, 6 Ba 3.42-3.54

Computed properties:
E_form = 0.282 eV per atom
V = 37.1 A^3/atom
Raw total energy = -2.301 eV per atom


# 5
# BaFe2Hg

A geometry-optimized BaFe2Hg structure (PBE, the Alexandria database).

Lattice parameters (Å, degrees): 6.0301 6.0301 6.0301 148.31 126.18 63.82
With the nearest neighbours (Å) after each atom.
Sites, in units of the cell vectors:
1 Ba 0.0000 0.0000 0.0000  8 Fe 3.21-3.48, 2 Ba 3.29, 4 Hg 3.41-3.49
2 Fe 0.2996 0.7996 0.5000  2 Fe 2.34
3 Fe 0.4614 0.4614 0.0000  2 Fe 2.34
4 Hg 0.7000 0.2000 0.5000  2 Fe 2.95, 2 Hg 3.29

Computed properties:
E_form = 0.558 eV per atom
V = 23.0 A^3/atom
Raw total energy = -4.229 eV per atom


# 6
# BaFe3Hg

A geometry-optimized BaFe3Hg structure (PBE, the Alexandria database).

Lattice parameters (Å, degrees): 4.9680 4.9680 4.9680 90.00 90.00 90.00
With the nearest neighbours (Å) after each atom.
Sites, in units of the cell vectors:
1 Ba 0.0000 0.0000 0.0000  6 Fe 2.48
2 Fe 0.0000 0.0000 0.5000  2 Ba 2.48
3 Fe 0.0000 0.5000 0.0000  2 Ba 2.48
4 Fe 0.5000 0.0000 0.0000  2 Ba 2.48
5 Hg 0.5000 0.5000 0.5000  12 Fe 3.51

Computed properties:
E_form = 2.172 eV per atom
V = 24.5 A^3/atom
Raw total energy = -3.351 eV per atom


# 7
# Ba4FeHg

A geometry-optimized Ba4FeHg structure (PBE, the Alexandria database).

Lattice parameters (Å, degrees): 7.2315 7.2315 7.2315 60.00 60.00 60.00
With the nearest neighbours (Å) after each atom.
Sites, in units of the cell vectors:
1 Ba 0.1246 0.1246 0.1246  6 Ba 3.61-3.63
2 Ba 0.1246 0.1246 0.6261  6 Ba 3.61-3.63
3 Ba 0.1246 0.6261 0.1246  6 Ba 3.61-3.63
4 Ba 0.6261 0.1246 0.1246  6 Ba 3.61-3.63
5 Fe 0.7500 0.7500 0.7500  12 Ba 4.24, 4 Hg 4.43
6 Hg 0.5000 0.5000 0.5000  12 Ba 4.24, 4 Fe 4.43

Computed properties:
E_form = 0.803 eV per atom
V = 44.6 A^3/atom
Raw total energy = -1.940 eV per atom


# 8
# BaFe2Hg

A geometry-optimized BaFe2Hg structure (PBE, the Alexandria database).

Lattice parameters (Å, degrees): 6.6936 6.6936 6.6936 37.36 37.36 37.36
With the nearest neighbours (Å) after each atom.
Sites, in units of the cell vectors:
1 Ba 0.0000 0.0000 0.0000  7 Fe 3.48-3.78, 4 Hg 3.58-3.64
2 Fe 0.4657 0.4657 0.4657  3 Fe 2.48, 3 Hg 2.74
3 Fe 0.7976 0.7976 0.7976  3 Fe 2.48, 3 Hg 2.75
4 Hg 0.1950 0.1950 0.1950  6 Fe 2.74-2.75

Computed properties:
E_form = 0.326 eV per atom
V = 24.8 A^3/atom
Raw total energy = -4.461 eV per atom


# 9
# BaFeHg2

A geometry-optimized BaFeHg2 structure (PBE, the Alexandria database).

Lattice parameters (Å, degrees): 5.5365 5.5365 5.5365 125.70 112.98 91.49
With the nearest neighbours (Å) after each atom.
Sites, in units of the cell vectors:
1 Ba 0.0000 0.0000 0.0000  2 Fe 3.28, 5 Hg 3.41-3.53
2 Fe 0.3457 0.8457 0.5000  3 Hg 2.67-2.77
3 Hg 0.4571 0.4571 0.0000  2 Fe 2.67
4 Hg 0.7037 0.2037 0.5000  1 Fe 2.77

Computed properties:
E_form = 0.237 eV per atom
V = 29.8 A^3/atom
Raw total energy = -2.510 eV per atom


# 10
# BaFeHg2

A geometry-optimized BaFeHg2 structure (PBE, the Alexandria database).

Lattice parameters (Å, degrees): 3.5619 3.5619 7.9291 90.00 90.00 90.00
With the nearest neighbours (Å) after each atom.
Sites, in units of the cell vectors:
1 Ba 0.0000 0.0000 0.0000  8 Hg 3.53, 4 Ba 3.56
2 Fe 0.0000 0.0000 0.5000  8 Hg 2.92
3 Hg 0.5000 0.5000 0.3125  4 Fe 2.92, 1 Hg 2.97
4 Hg 0.5000 0.5000 0.6875  4 Fe 2.92, 1 Hg 2.97

Computed properties:
E_form = 0.170 eV per atom
V = 25.1 A^3/atom
Raw total energy = -2.577 eV per atom


# 11
# BaFe2Hg

A geometry-optimized BaFe2Hg structure (PBE, the Alexandria database).

Lattice parameters (Å, degrees): 3.6502 3.6502 7.0706 90.00 90.00 90.00
With the nearest neighbours (Å) after each atom.
Sites, in units of the cell vectors:
1 Ba 0.0000 0.0000 0.0000  2 Hg 3.54, 8 Fe 3.55, 4 Ba 3.65
2 Fe 0.5000 0.5000 0.3456  1 Fe 2.18
3 Fe 0.5000 0.5000 0.6544  1 Fe 2.18
4 Hg 0.0000 0.0000 0.5000  8 Fe 2.80

Computed properties:
E_form = 0.567 eV per atom
V = 23.6 A^3/atom
Raw total energy = -4.221 eV per atom


# 12
# BaFe4Hg

A geometry-optimized BaFe4Hg structure (PBE, the Alexandria database).

Lattice parameters (Å, degrees): 5.3097 5.3097 5.3097 60.00 60.00 60.00
With the nearest neighbours (Å) after each atom.
Sites, in units of the cell vectors:
1 Ba 0.0000 0.0000 0.0000  12 Fe 3.12, 4 Hg 3.25
2 Fe 0.1380 0.6207 0.6207  6 Fe 2.56-2.75
3 Fe 0.6207 0.1380 0.6207  6 Fe 2.56-2.75
4 Fe 0.6207 0.6207 0.1380  6 Fe 2.56-2.75
5 Fe 0.6207 0.6207 0.6207  6 Fe 2.56-2.75
6 Hg 0.2500 0.2500 0.2500  12 Fe 3.10, 4 Ba 3.25

Computed properties:
E_form = 0.490 eV per atom
V = 17.6 A^3/atom
Raw total energy = -5.522 eV per atom